VASP calculation (PBE) on a geometry-optimized Zr5In2H structure.

```
data_Zr5In2H
_chemical_formula_sum 'Zr5 In2 H1'
_cell_length_a 6.3349
_cell_length_b 6.3349
_cell_length_c 6.2031
_cell_angle_alpha 120.77
_cell_angle_beta 120.77
_cell_angle_gamma 89.89
_symmetry_space_group_name_H-M 'P 1'
_symmetry_Int_Tables_number 1
_symmetry_space_group_name_Hall 'P 1'
loop_
_atom_site_label
_atom_site_fract_x
_atom_site_fract_y
_atom_site_fract_z
_atom_site_occupancy
Zr1 0.7509 0.2550 0.0059 1
Zr2 0.2549 0.2549 0.0058 1
Zr3 0.7510 0.7510 0.0058 1
Zr4 0.2550 0.7509 0.0059 1
Zr5 0.7540 0.7540 0.5080 1
In1 0.2522 0.7521 0.5043 1
In2 0.7521 0.2522 0.5043 1
H1 0.0070 0.0070 0.0140 1
```

Computed properties:
crystal system	orthorhombic
V	172.0	Å³ per cell
DFT total energy	-6.559	eV/atom
theoretical density	6.629	g/cm³